The following is a DFT calculation (GGA-PBE) of a relaxed structure of Nb2FeIr2.

abc: 7.378 7.378 3.027
angles: 90.00 90.00 90.00
Fractional coordinates of all 10 atoms:
Fe 0.000 0.000 0.000
Fe 0.500 0.500 0.000
Ir 0.867 0.633 0.000
Ir 0.633 0.133 0.000
Ir 0.367 0.867 0.000
Ir 0.133 0.367 0.000
Nb 0.170 0.670 0.500
Nb 0.330 0.170 0.500
Nb 0.830 0.330 0.500
Nb 0.670 0.830 0.500

Summary:
ΔE_f: 0.002 eV per atom
Density of states at the Fermi level: 19.55 states/eV/cell
SG: No. 127